Entry 1:
An optimized crystal structure of Ba3In2Ga2Pt4. Source: Alexandria via LeMat-Bulk, functional PBE.

a b c (Å): 4.506 4.506 17.244
angles (deg): 90.00 90.00 120.00
Fractional coordinates of all 11 atoms:
Ba1 0.000 0.000 0.000
Pt1 0.667 0.333 0.602
In1 0.333 0.667 0.560
Ba2 0.000 0.000 0.723
Pt2 0.333 0.667 0.398
Ga1 0.333 0.667 0.138
Ba3 0.000 0.000 0.277
Pt3 0.667 0.333 0.136
Ga2 0.667 0.333 0.862
Pt4 0.333 0.667 0.864
In2 0.667 0.333 0.440

Output
V (A^3/atom): 27.56
Total DFT energy (no corrections) (eV per atom): -4.44
Energy relative to the elements (eV/f.u.): -7.35
Total moment (μB per formula unit): 0.00

Entry 2:
An optimized crystal structure of ErSi2Pd3. Source: Alexandria via LeMat-Bulk, functional PBE.

a b c (Å): 3.965 8.393 9.850
angles (deg): 108.02 90.00 103.66
Fractional coordinates of all 18 atoms:
Pd1 0.779 0.558 0.609
Si1 0.199 0.398 0.131
Si2 0.461 0.923 0.220
Si3 0.636 0.272 0.450
Pd2 0.321 0.641 0.040
Pd3 0.221 0.442 0.391
Er1 0.153 0.307 0.693
Pd4 0.040 0.080 0.328
Pd5 0.500 0.000 0.500
Pd6 0.379 0.757 0.804
Si4 0.364 0.728 0.550
Pd7 0.621 0.243 0.196
Pd8 0.679 0.359 0.960
Si5 0.539 0.077 0.780
Er2 0.000 0.000 0.000
Pd9 0.960 0.920 0.672
Si6 0.801 0.602 0.869
Er3 0.847 0.693 0.307

Output
V (A^3/atom): 16.77
Total DFT energy (no corrections) (eV per atom): -6.04
Uncorrected formation energy (eV/atom): -0.878
Total moment (μB per formula unit): 0.00

Entry 3:
An optimized crystal structure of InTePb2. Source: Alexandria via LeMat-Bulk, functional PBE.

a b c (Å): 8.880 8.880 8.880
angles (deg): 27.35 27.35 27.35
Fractional coordinates of all 4 atoms:
Pb1 0.246 0.246 0.246
Te1 0.495 0.495 0.495
Pb2 0.004 0.004 0.004
In1 0.756 0.756 0.756

Output
V (A^3/atom): 32.61
Total DFT energy (no corrections) (eV per atom): -3.37
Uncorrected formation energy (eV/atom): -0.046
Excess energy over the best structure of this formula in the dataset (eV/f.u.): 0.12
Total moment (μB per formula unit): 0.00

Entry 4:
An optimized crystal structure of AcMgH6Rh. Source: Alexandria via LeMat-Bulk, functional PBE.

a b c (Å): 4.780 4.780 4.782
angles (deg): 90.00 90.00 60.00
Fractional coordinates of all 9 atoms:
Mg1 0.667 0.667 0.500
H1 0.483 0.034 0.241
H2 0.483 0.483 0.241
Ac1 0.000 0.000 0.000
H3 0.034 0.483 0.241
H4 0.483 0.483 0.759
H5 0.034 0.483 0.759
H6 0.483 0.034 0.759
Rh1 0.333 0.333 0.500

Output
V (A^3/atom): 10.51
Total DFT energy (no corrections) (eV per atom): -4.07
Total moment (μB per formula unit): 0.00

Entry 5:
An optimized crystal structure of CaTaRh2. Source: Alexandria via LeMat-Bulk, functional PBE.

a b c (Å): 3.190 3.190 7.328
angles (deg): 90.00 90.00 90.00
Fractional coordinates of all 4 atoms:
Rh1 0.000 0.000 0.451
Ca1 0.500 0.500 0.750
Rh2 0.000 0.000 0.049
Ta1 0.500 0.500 0.250

Output
V (A^3/atom): 18.65
Total DFT energy (no corrections) (eV per atom): -7.63
Energy relative to the elements (eV/f.u.): -1.98
Total moment (μB per formula unit): 0.00

Entry 6:
An optimized crystal structure of Ac2La6Sm. Source: Alexandria via LeMat-Bulk, functional PBE.

a b c (Å): 9.438 9.456 9.438
angles (deg): 67.38 66.65 67.38
Fractional coordinates of all 18 atoms:
La1 0.090 0.081 0.581
La2 0.014 0.333 0.147
La3 0.581 0.581 0.090
La4 0.848 0.493 0.676
La5 0.910 0.919 0.419
Ac1 0.321 0.671 0.497
La6 0.152 0.507 0.324
Sm1 0.258 0.250 0.742
Sm2 0.742 0.750 0.258
La7 0.419 0.419 0.910
La8 0.853 0.167 0.986
Ac2 0.679 0.329 0.503
Ac3 0.497 0.171 0.321
Ac4 0.503 0.829 0.679
La9 0.676 0.993 0.848
La10 0.147 0.833 0.014
La11 0.986 0.667 0.853
La12 0.324 0.007 0.152

Output
V (A^3/atom): 38.15
Total DFT energy (no corrections) (eV per atom): -4.66
Energy relative to the elements (eV/f.u.): 0.54
Total moment (μB per formula unit): 0.00

Entry 7:
An optimized crystal structure of PaTiCu2. Source: Alexandria via LeMat-Bulk, functional PBE.

a b c (Å): 2.968 2.968 7.631
angles (deg): 90.00 90.00 90.00
Fractional coordinates of all 4 atoms:
Cu1 0.000 0.000 0.218
Pa1 0.500 0.500 0.500
Cu2 0.000 0.000 0.782
Ti1 0.500 0.500 0.000

Output
V (A^3/atom): 16.80
Total DFT energy (no corrections) (eV per atom): -6.37
Energy relative to the elements (eV/f.u.): 0.12
Excess energy over the best structure of this formula in the dataset (eV/f.u.): 0.00
Total moment (μB per formula unit): 0.77

Entry 8:
An optimized crystal structure of NaHoTlHg. Source: Alexandria via LeMat-Bulk, functional PBE.

a b c (Å): 5.240 5.240 5.240
angles (deg): 60.00 60.00 60.00
Fractional coordinates of all 4 atoms:
Na1 0.000 0.000 0.000
Hg1 0.750 0.750 0.750
Tl1 0.250 0.250 0.250
Ho1 0.500 0.500 0.500

Output
V (A^3/atom): 25.43
Total DFT energy (no corrections) (eV per atom): -2.41
Energy relative to the elements (eV/f.u.): -1.08
Excess energy over the best structure of this formula in the dataset (eV/f.u.): 0.00
Total moment (μB per formula unit): 0.00

Entry 9:
An optimized crystal structure of HgPb2S2. Source: Alexandria via LeMat-Bulk, functional PBE.

a b c (Å): 8.272 8.272 3.775
angles (deg): 90.00 90.00 90.00
Fractional coordinates of all 10 atoms:
Hg1 0.000 0.000 0.000
Pb1 0.154 0.654 0.500
Pb2 0.654 0.846 0.500
S1 0.147 0.353 0.000
S2 0.353 0.853 0.000
S3 0.647 0.147 0.000
Pb3 0.846 0.346 0.500
Hg2 0.500 0.500 0.000
Pb4 0.346 0.154 0.500
S4 0.853 0.647 0.000

Output
V (A^3/atom): 25.83
Total DFT energy (no corrections) (eV per atom): -3.40
Uncorrected formation energy (eV/atom): -0.203
Excess energy over the best structure of this formula in the dataset (eV/f.u.): 0.41
Total moment (μB per formula unit): 0.00

Entry 10:
An optimized crystal structure of NaNi3S3. Source: Alexandria via LeMat-Bulk, functional PBE.

a b c (Å): 6.226 6.226 6.226
angles (deg): 90.00 90.00 90.00
Fractional coordinates of all 14 atoms:
Ni1 0.250 0.500 0.000
Ni2 0.750 0.500 0.000
Ni3 0.000 0.750 0.500
S1 0.500 0.250 0.000
S2 0.000 0.500 0.750
Ni4 0.500 0.000 0.250
S3 0.250 0.000 0.500
S4 0.500 0.750 0.000
Na1 0.000 0.000 0.000
Ni5 0.000 0.250 0.500
S5 0.000 0.500 0.250
Na2 0.500 0.500 0.500
Ni6 0.500 0.000 0.750
S6 0.750 0.000 0.500

Output
V (A^3/atom): 17.24
Total DFT energy (no corrections) (eV per atom): -4.88
Uncorrected formation energy (eV/atom): -0.449
Excess energy over the best structure of this formula in the dataset (eV/f.u.): 0.59
Total moment (μB per formula unit): 0.00

Entry 11:
An optimized crystal structure of Ac3Cu. Source: Alexandria via LeMat-Bulk, functional PBE.

a b c (Å): 3.994 3.976 9.961
angles (deg): 90.00 90.00 90.00
Fractional coordinates of all 4 atoms:
Ac1 0.000 0.500 0.467
Cu1 0.000 0.000 0.992
Ac2 0.500 0.500 0.122
Ac3 0.500 0.000 0.752

Output
V (A^3/atom): 39.54
Total DFT energy (no corrections) (eV per atom): -3.98
Energy relative to the elements (eV/f.u.): 0.51
Excess energy over the best structure of this formula in the dataset (eV/f.u.): 0.71
Total moment (μB per formula unit): 0.00

Entry 12:
An optimized crystal structure of NaHf2Os. Source: Alexandria via LeMat-Bulk, functional PBE.

a b c (Å): 7.657 7.657 6.198
angles (deg): 51.85 51.85 90.00
Fractional coordinates of all 8 atoms:
Os1 0.000 0.000 0.000
Hf1 0.673 0.125 0.250
Na1 0.250 0.750 0.500
Na2 0.500 0.500 0.000
Hf2 0.375 0.327 0.750
Hf3 0.875 0.923 0.750
Hf4 0.077 0.625 0.250
Os2 0.750 0.250 0.500

Output
V (A^3/atom): 22.10
Total DFT energy (no corrections) (eV per atom): -7.56
Energy relative to the elements (eV/f.u.): 2.20
Total moment (μB per formula unit): 0.00

Entry 13:
An optimized crystal structure of LiZnCrIn. Source: Alexandria via LeMat-Bulk, functional PBE.

a b c (Å): 4.543 4.543 4.543
angles (deg): 60.00 60.00 60.00
Fractional coordinates of all 4 atoms:
Li1 0.250 0.250 0.250
Cr1 0.750 0.750 0.750
Zn1 0.000 0.000 0.000
In1 0.500 0.500 0.500

Output
V (A^3/atom): 16.58
Total DFT energy (no corrections) (eV per atom): -3.84
Energy relative to the elements (eV/f.u.): 0.20
Total moment (μB per formula unit): 3.38

Entry 14:
An optimized crystal structure of RhAuS2. Source: Alexandria via LeMat-Bulk, functional PBE.

a b c (Å): 3.486 3.486 6.925
angles (deg): 90.00 90.00 120.00
Fractional coordinates of all 4 atoms:
Rh1 0.000 0.000 0.982
S1 0.667 0.333 0.185
Au1 0.333 0.667 0.474
S2 0.333 0.667 0.813

Output
V (A^3/atom): 18.21
Total DFT energy (no corrections) (eV per atom): -4.89
Uncorrected formation energy (eV/atom): -0.170
Total moment (μB per formula unit): 0.00

Entry 15:
An optimized crystal structure of AcSbH. Source: Alexandria via LeMat-Bulk, functional PBE.

a b c (Å): 4.504 4.504 8.460
angles (deg): 74.56 74.56 89.97
Fractional coordinates of all 6 atoms:
H1 0.154 0.595 0.608
Ac1 0.564 0.505 0.788
Ac2 0.244 0.184 0.429
H2 0.654 0.094 0.609
Sb1 0.404 0.844 0.108
Sb2 0.904 0.344 0.108

Output
V (A^3/atom): 26.50
Total DFT energy (no corrections) (eV per atom): -4.45
Excess energy over the best structure of this formula in the dataset (eV/f.u.): 0.25
Total moment (μB per formula unit): 0.00

Entry 16:
An optimized crystal structure of MnCo2NiN. Source: Alexandria via LeMat-Bulk, functional PBE.

a b c (Å): 3.717 3.717 3.833
angles (deg): 90.00 90.00 90.00
Fractional coordinates of all 5 atoms:
Co1 0.500 0.000 0.000
Co2 0.000 0.500 0.000
Ni1 0.500 0.500 0.500
N1 0.000 0.000 0.000
Mn1 0.000 0.000 0.500

Output
V (A^3/atom): 10.59
Total DFT energy (no corrections) (eV per atom): -7.55
Uncorrected formation energy (eV/atom): -0.048
Excess energy over the best structure of this formula in the dataset (eV/f.u.): 0.00
Total moment (μB per formula unit): 6.15

Entry 17:
An optimized crystal structure of VCuBRh2. Source: Alexandria via LeMat-Bulk, functional PBE.

a b c (Å): 4.033 4.089 4.033
angles (deg): 90.00 90.00 90.00
Fractional coordinates of all 5 atoms:
Cu1 0.500 0.500 0.500
B1 0.000 0.000 0.000
Rh1 0.000 0.000 0.500
Rh2 0.500 0.000 0.000
V1 0.000 0.500 0.000

Output
V (A^3/atom): 13.30
Total DFT energy (no corrections) (eV per atom): -6.88
Energy relative to the elements (eV/f.u.): 0.21
Total moment (μB per formula unit): 1.62

Entry 18:
An optimized crystal structure of Sm2ThFe9. Source: Alexandria via LeMat-Bulk, functional PBE.

a b c (Å): 5.136 5.136 8.825
angles (deg): 73.08 73.08 60.00
Fractional coordinates of all 12 atoms:
Fe1 0.916 0.420 0.243
Fe2 0.420 0.420 0.243
Sm1 0.858 0.858 0.426
Fe3 0.332 0.332 0.003
Fe4 0.580 0.580 0.757
Fe5 0.084 0.580 0.757
Fe6 0.500 0.500 0.500
Fe7 0.668 0.668 0.997
Fe8 0.580 0.084 0.757
Sm2 0.142 0.142 0.574
Th1 0.000 0.000 0.000
Fe9 0.420 0.916 0.243

Output
V (A^3/atom): 15.83
Total DFT energy (no corrections) (eV per atom): -7.77
Energy relative to the elements (eV/f.u.): -0.22
Total moment (μB per formula unit): 18.04

Entry 19:
An optimized crystal structure of AcDyScTl. Source: Alexandria via LeMat-Bulk, functional PBE.

a b c (Å): 5.508 5.508 5.508
angles (deg): 60.00 60.00 60.00
Fractional coordinates of all 4 atoms:
Sc1 0.750 0.750 0.750
Tl1 0.000 0.000 0.000
Ac1 0.500 0.500 0.500
Dy1 0.250 0.250 0.250

Output
V (A^3/atom): 29.55
Total DFT energy (no corrections) (eV per atom): -4.28
Energy relative to the elements (eV/f.u.): 0.31
Total moment (μB per formula unit): 1.57